# 1
A relaxed Na7SrPb2 crystal. Source: Alexandria, functional PBE-GGA.

The structure in CIF format:
```
data_Na7SrPb2
_chemical_formula_sum 'Na14 Sr2 Pb4'
_symmetry_space_group_name_H-M 'C m m m'
_symmetry_Int_Tables_number 65
_symmetry_space_group_name_Hall '-C 2 2'
_cell_length_a 11.762
_cell_length_b 12.679
_cell_length_c 5.270
_cell_angle_alpha 90.00
_cell_angle_beta 90.00
_cell_angle_gamma 90.00
loop_
_atom_site_label
_atom_site_type_symbol
_atom_site_fract_x
_atom_site_fract_y
_atom_site_fract_z
Na1 Na 0.000 0.000 0.000
Na2 Na 0.000 0.183 0.500
Na3 Na 0.239 0.132 0.000
Sr1 Sr 0.000 0.500 0.500
Pb1 Pb 0.000 0.310 0.000
```

N(E_F), states/eV/f.u.: 5.08
E, eV/cell: -37.1
Total moment, μB per atom: 0.000

# 2
A relaxed MgAgBr crystal. Source: Alexandria, functional PBE-GGA.

The structure in CIF format:
```
data_MgAgBr
_chemical_formula_sum 'Mg4 Ag4 Br4'
_symmetry_space_group_name_H-M 'F m m 2'
_symmetry_Int_Tables_number 42
_symmetry_space_group_name_Hall 'F 2 -2'
_cell_length_a 4.027
_cell_length_b 5.539
_cell_length_c 12.704
_cell_angle_alpha 90.00
_cell_angle_beta 90.00
_cell_angle_gamma 90.00
loop_
_atom_site_label
_atom_site_type_symbol
_atom_site_fract_x
_atom_site_fract_y
_atom_site_fract_z
Mg1 Mg 0.000 0.000 0.000
Ag1 Ag 0.000 0.000 0.645
Br1 Br 0.000 0.000 0.362
```

Formation energy without anion corrections, eV/atom: -0.357
N(E_F), states/eV/f.u.: 1.24
Total moment, μB per atom: 0.000

# 3
A relaxed ZrHgRu crystal. Source: Alexandria, functional PBE-GGA.

The structure in CIF format:
```
data_ZrHgRu
_chemical_formula_sum 'Zr1 Hg1 Ru1'
_symmetry_space_group_name_H-M 'P 3 m 1'
_symmetry_Int_Tables_number 156
_cell_length_a 3.3928
_cell_length_b 3.3928
_cell_length_c 6.2006
_cell_angle_alpha 90.00
_cell_angle_beta 90.00
_cell_angle_gamma 120.00
loop_
_symmetry_equiv_pos_as_xyz
'x,y,z'
'-y,x-y,z'
'-x+y,-x,z'
'-y,-x,z'
'-x+y,y,z'
'x,x-y,z'
loop_
_atom_site_label
_atom_site_type_symbol
_atom_site_fract_x
_atom_site_fract_y
_atom_site_fract_z
Zr1 Zr 0.0000 0.0000 0.0000
Hg1 Hg 0.6667 0.3333 0.3858
Ru1 Ru 0.3333 0.6667 0.7280
```

N(E_F), states/eV/f.u.: 2.56
E, eV/cell: -18.0
Total moment, μB per atom: 0.000

# 4
A relaxed MoAs2Au crystal. Source: Alexandria, functional PBE-GGA.

The structure in CIF format:
```
data_MoAs2Au
_chemical_formula_sum 'Mo2 As4 Au2'
_symmetry_space_group_name_H-M 'I m m 2'
_symmetry_Int_Tables_number 44
_cell_length_a 3.159
_cell_length_b 3.663
_cell_length_c 12.927
_cell_angle_alpha 90.00
_cell_angle_beta 90.00
_cell_angle_gamma 90.00
loop_
_symmetry_equiv_pos_as_xyz
'x,y,z'
'-x,-y,z'
'-x,y,z'
'x,-y,z'
'x+1/2,y+1/2,z+1/2'
'-x+1/2,-y+1/2,z+1/2'
'-x+1/2,y+1/2,z+1/2'
'x+1/2,-y+1/2,z+1/2'
loop_
_atom_site_label
_atom_site_type_symbol
_atom_site_fract_x
_atom_site_fract_y
_atom_site_fract_z
Mo1 Mo 0.000 0.000 0.000
As1 As 0.000 0.000 0.432
As2 As 0.000 0.500 0.655
Au1 Au 0.000 0.500 0.276
```

N(E_F), states/eV/f.u.: 2.33
E, eV/cell: -45.8
Total moment, μB per atom: 0.000

# 5
A relaxed Cd4Hg2Pb5 crystal. Source: Alexandria, functional PBE-GGA.

The structure in CIF format:
```
data_Cd4Hg2Pb5
_chemical_formula_sum 'Cd8 Hg4 Pb10'
_symmetry_space_group_name_H-M 'C 1 2/m 1'
_symmetry_Int_Tables_number 12
_cell_length_a 23.042
_cell_length_b 3.343
_cell_length_c 8.045
_cell_angle_alpha 90.00
_cell_angle_beta 95.13
_cell_angle_gamma 90.00
loop_
_symmetry_equiv_pos_as_xyz
'x,y,z'
'-x,-y,-z'
'-x,y,-z'
'x,-y,z'
'x+1/2,y+1/2,z'
'-x+1/2,-y+1/2,-z'
'-x+1/2,y+1/2,-z'
'x+1/2,-y+1/2,z'
loop_
_atom_site_label
_atom_site_type_symbol
_atom_site_fract_x
_atom_site_fract_y
_atom_site_fract_z
Cd1 Cd 0.041 0.000 0.358
Cd2 Cd 0.162 0.500 0.466
Hg1 Hg 0.089 0.000 0.713
Pb1 Pb 0.000 0.500 0.000
Pb2 Pb 0.136 0.000 0.087
Pb3 Pb 0.234 0.000 0.784
```

N(E_F), states/eV/f.u.: 4.29
E, eV/cell: -44.7
Total moment, μB per atom: 0.000

# 6
A relaxed AlAgMo2 crystal. Source: Alexandria, functional PBE-GGA.

The structure in CIF format:
```
data_AlAgMo2
_chemical_formula_sum 'Al2 Ag2 Mo4'
_symmetry_space_group_name_H-M 'I m m 2'
_symmetry_Int_Tables_number 44
_cell_length_a 3.347
_cell_length_b 4.567
_cell_length_c 8.466
_cell_angle_alpha 90.00
_cell_angle_beta 90.00
_cell_angle_gamma 90.00
loop_
_symmetry_equiv_pos_as_xyz
'x,y,z'
'-x,-y,z'
'-x,y,z'
'x,-y,z'
'x+1/2,y+1/2,z+1/2'
'-x+1/2,-y+1/2,z+1/2'
'-x+1/2,y+1/2,z+1/2'
'x+1/2,-y+1/2,z+1/2'
loop_
_atom_site_label
_atom_site_type_symbol
_atom_site_fract_x
_atom_site_fract_y
_atom_site_fract_z
Al1 Al 0.000 0.000 0.000
Ag1 Ag 0.000 0.500 0.742
Mo1 Mo 0.000 0.000 0.515
Mo2 Mo 0.000 0.500 0.240
```

N(E_F), states/eV/f.u.: 1.53
E, eV/cell: -55.2
Total moment, μB per atom: 0.000

# 7
A relaxed LiHgBiPb crystal. Source: Alexandria, functional PBE-GGA.

The structure in CIF format:
```
data_LiHgBiPb
_chemical_formula_sum 'Li1 Hg1 Bi1 Pb1'
_symmetry_space_group_name_H-M 'P 4 m m'
_symmetry_Int_Tables_number 99
_cell_length_a 3.424
_cell_length_b 3.424
_cell_length_c 8.694
_cell_angle_alpha 90.00
_cell_angle_beta 90.00
_cell_angle_gamma 90.00
loop_
_symmetry_equiv_pos_as_xyz
'x,y,z'
'-y,x,z'
'-x,-y,z'
'y,-x,z'
'-x,y,z'
'y,x,z'
'x,-y,z'
'-y,-x,z'
loop_
_atom_site_label
_atom_site_type_symbol
_atom_site_fract_x
_atom_site_fract_y
_atom_site_fract_z
Li1 Li 0.000 0.000 0.000
Hg1 Hg 0.500 0.500 0.176
Bi1 Bi 0.500 0.500 0.767
Pb1 Pb 0.000 0.000 0.447
```

N(E_F), states/eV/f.u.: 1.34
E, eV/cell: -10.5
Total moment, μB per atom: 0.000

# 8
A relaxed UTiOsW crystal. Source: Alexandria, functional PBE-GGA.

The structure in CIF format:
```
data_UTiOsW
_chemical_formula_sum 'U4 Ti4 Os4 W4'
_symmetry_space_group_name_H-M 'F -4 3 m'
_symmetry_Int_Tables_number 216
_symmetry_space_group_name_Hall 'F -4 2 3'
_cell_length_a 6.465
_cell_length_b 6.465
_cell_length_c 6.465
_cell_angle_alpha 90.00
_cell_angle_beta 90.00
_cell_angle_gamma 90.00
loop_
_atom_site_label
_atom_site_type_symbol
_atom_site_fract_x
_atom_site_fract_y
_atom_site_fract_z
U1 U 0.000 0.000 0.000
Ti1 Ti 0.250 0.250 0.250
Os1 Os 0.000 0.000 0.500
W1 W 0.250 0.250 0.750
```

N(E_F), states/eV/f.u.: 5.72
E, eV/cell: -170.9
Total moment, μB per atom: 0.273